# PBE La4RhAuCl2, relaxed
# Formation energy (no corrections) = -116 kJ per mole of atoms
# Total magnetization = 0.0 μB per formula unit
# Calculated volume = 236.7 Å³/cell
data_La4RhAuCl2
_chemical_formula_sum 'La4 Rh1 Au1 Cl2'
_symmetry_space_group_name_H-M 'P 1 2/m 1'
_symmetry_Int_Tables_number 10
_cell_length_a 7.437
_cell_length_b 4.258
_cell_length_c 7.873
_cell_angle_alpha 90.00
_cell_angle_beta 108.30
_cell_angle_gamma 90.00
loop_
_symmetry_equiv_pos_as_xyz
'x,y,z'
'-x,-y,-z'
'-x,y,-z'
'x,-y,z'
loop_
_atom_site_label
_atom_site_fract_x
_atom_site_fract_y
_atom_site_fract_z
La1 0.230 0.000 0.215
La2 0.239 0.500 0.782
Rh1 0.000 0.500 0.000
Au1 0.500 0.000 0.000
Cl1 0.000 0.000 0.500
Cl2 0.500 0.500 0.500